No. 1
# Li2MnCr PBE relaxed
# - SG = No. 25
# - E (eV/atom) = -5.255
# - energy above the most stable polymorph in this dataset (eV/atom) = 0.1284
data_Li2MnCr
_cell_length_a 2.305
_cell_length_b 3.977
_cell_length_c 5.532
_cell_angle_alpha 90.00
_cell_angle_beta 90.00
_cell_angle_gamma 90.00
_symmetry_space_group_name_H-M 'P 1'
_symmetry_Int_Tables_number 1
loop_
_symmetry_equiv_pos_as_xyz
'x,y,z'
loop_
_atom_site_label
_atom_site_fract_x
_atom_site_fract_y
_atom_site_fract_z
Cr1 0.500 0.500 0.713
Li1 0.500 0.500 0.244
Li2 0.000 0.000 0.009
Mn1 0.000 0.000 0.535

***

No. 2
# ZrMn4Si2 PBE relaxed
# - SG = No. 136
# - formation energy from raw total energies (kJ/mol of formula units) = -326
# - E (eV/atom) = -8.492
data_ZrMn4Si2
_cell_length_a 3.829
_cell_length_b 6.867
_cell_length_c 6.867
_cell_angle_alpha 90.00
_cell_angle_beta 90.00
_cell_angle_gamma 90.00
_symmetry_space_group_name_H-M 'P 1'
_symmetry_Int_Tables_number 1
loop_
_symmetry_equiv_pos_as_xyz
'x,y,z'
loop_
_atom_site_label
_atom_site_fract_x
_atom_site_fract_y
_atom_site_fract_z
Mn1 0.500 0.592 0.143
Mn2 0.500 0.408 0.857
Mn3 0.000 0.908 0.643
Mn4 0.000 0.643 0.908
Mn5 0.000 0.357 0.092
Mn6 0.500 0.143 0.592
Mn7 0.500 0.857 0.408
Mn8 0.000 0.092 0.357
Si1 0.000 0.787 0.213
Si2 0.500 0.287 0.287
Si3 0.000 0.213 0.787
Si4 0.500 0.713 0.713
Zr1 0.500 0.000 0.000
Zr2 0.000 0.500 0.500

***

No. 3
# Al2TlAg PBE relaxed
# - SG = No. 123
# - E (eV/atom) = -2.923
data_Al2TlAg
_cell_length_a 4.321
_cell_length_b 4.321
_cell_length_c 4.426
_cell_angle_alpha 90.00
_cell_angle_beta 90.00
_cell_angle_gamma 90.00
_symmetry_space_group_name_H-M 'P 1'
_symmetry_Int_Tables_number 1
loop_
_symmetry_equiv_pos_as_xyz
'x,y,z'
loop_
_atom_site_label
_atom_site_fract_x
_atom_site_fract_y
_atom_site_fract_z
Al1 0.000 0.000 0.000
Al2 0.500 0.500 0.000
Ag1 0.000 0.500 0.500
Tl1 0.500 0.000 0.500

***

No. 4
# TbNdFe17 PBE relaxed
# - SG = No. 160
# - E (eV/atom) = -8.049
data_TbNdFe17
_cell_length_a 6.435
_cell_length_b 6.435
_cell_length_c 6.435
_cell_angle_alpha 82.93
_cell_angle_beta 82.93
_cell_angle_gamma 82.93
_symmetry_space_group_name_H-M 'P 1'
_symmetry_Int_Tables_number 1
loop_
_symmetry_equiv_pos_as_xyz
'x,y,z'
loop_
_atom_site_label
_atom_site_fract_x
_atom_site_fract_y
_atom_site_fract_z
Fe1 0.845 0.342 0.342
Fe2 0.707 0.001 0.292
Fe3 0.001 0.500 0.001
Fe4 0.657 0.657 0.156
Fe5 0.292 0.001 0.707
Fe6 0.904 0.904 0.904
Fe7 0.657 0.156 0.657
Fe8 0.097 0.097 0.097
Fe9 0.001 0.707 0.292
Fe10 0.292 0.707 0.001
Fe11 0.342 0.845 0.342
Fe12 0.156 0.657 0.657
Fe13 0.001 0.292 0.707
Fe14 0.707 0.292 0.001
Fe15 0.342 0.342 0.845
Fe16 0.001 0.001 0.500
Fe17 0.500 0.001 0.001
Tb1 0.340 0.340 0.340
Nd1 0.659 0.659 0.659

***

No. 5
# Li2TlBr PBE relaxed
# - SG = No. 47
# - formation energy from raw total energies (kJ/mol of formula units) = -219
# - E (eV/atom) = -2.535
# - energy above the most stable polymorph in this dataset (eV/atom) = 0.1570
data_Li2TlBr
_cell_length_a 3.727
_cell_length_b 6.949
_cell_length_c 3.966
_cell_angle_alpha 90.00
_cell_angle_beta 90.00
_cell_angle_gamma 90.00
_symmetry_space_group_name_H-M 'P 1'
_symmetry_Int_Tables_number 1
loop_
_symmetry_equiv_pos_as_xyz
'x,y,z'
loop_
_atom_site_label
_atom_site_fract_x
_atom_site_fract_y
_atom_site_fract_z
Li1 0.000 0.000 0.000
Li2 0.500 0.500 0.000
Tl1 0.500 0.000 0.500
Br1 0.000 0.500 0.500

***

No. 6
# CsTl2Au PBE relaxed
# - SG = No. 123
# - E (eV/atom) = -2.285
data_CsTl2Au
_cell_length_a 3.796
_cell_length_b 3.796
_cell_length_c 8.982
_cell_angle_alpha 90.00
_cell_angle_beta 90.00
_cell_angle_gamma 90.00
_symmetry_space_group_name_H-M 'P 1'
_symmetry_Int_Tables_number 1
loop_
_symmetry_equiv_pos_as_xyz
'x,y,z'
loop_
_atom_site_label
_atom_site_fract_x
_atom_site_fract_y
_atom_site_fract_z
Tl1 0.000 0.000 0.820
Tl2 0.000 0.000 0.180
Cs1 0.500 0.500 0.500
Au1 0.500 0.500 0.000